The following is a GGA-PBE calculation of an optimized crystal structure of MgTc2Te, from Alexandria via LeMat-Bulk.

As for the uncorrected formation energy: 0.426 eV per atom. Its space group is No. 216. As for the energy above the most stable polymorph in this dataset: 0.290 eV per atom.

Lattice parameters (Å, degrees): 6.511 6.511 6.511 90.00 90.00 90.00
Atoms (fractional coordinates):
Mg  0.000  0.000  0.000
Mg  0.000  0.500  0.500
Mg  0.500  0.000  0.500
Mg  0.500  0.500  0.000
Tc  0.000  0.000  0.500
Tc  0.000  0.500  0.000
Tc  0.250  0.250  0.250
Tc  0.250  0.750  0.750
Tc  0.500  0.000  0.000
Tc  0.500  0.500  0.500
Tc  0.750  0.250  0.750
Tc  0.750  0.750  0.250
Te  0.250  0.250  0.750
Te  0.250  0.750  0.250
Te  0.750  0.250  0.250
Te  0.750  0.750  0.750